No. 1
Computed, not measured: crystalline Pr5ZnIn2 at its relaxed geometry at the PBE level of DFT.

calculated volume: 238.37 Å³/cell
E: -4.104 eV/atom
space group: I4/mmm

abc: 6.856 6.856 6.856
angles: 116.54 116.54 96.11
Sites, in units of the cell vectors:
Pr 0.000 0.000 0.000
Pr 0.000 0.000 0.500
Pr 0.000 0.500 0.000
Pr 0.500 0.000 0.000
Pr 0.500 0.500 0.500
Zn 0.500 0.500 0.000
In 0.000 0.500 0.500
In 0.500 0.000 0.500

***

No. 2
Computed, not measured: crystalline Pr2Zn3In2 at its relaxed geometry at the PBE level of DFT.

calculated volume: 164.63 Å³/cell
E: -3.081 eV/atom
space group: C2/m

abc: 6.127 6.127 6.899
angles: 112.17 112.17 44.10
Sites, in units of the cell vectors:
Pr 0.149 0.149 0.266
Pr 0.851 0.851 0.734
Zn 0.421 0.421 0.088
Zn 0.500 0.500 0.500
Zn 0.579 0.579 0.912
In 0.154 0.154 0.764
In 0.846 0.846 0.236

***

No. 3
Computed, not measured: crystalline PrZn3In3 at its relaxed geometry at the PBE level of DFT.

calculated volume: 396.39 Å³/cell
E: -2.147 eV/atom
space group: Pm-3n

abc: 7.346 7.346 7.346
angles: 90.00 90.00 90.00
Sites, in units of the cell vectors:
Pr 0.000 0.000 0.000
Pr 0.500 0.500 0.500
Zn 0.000 0.250 0.500
Zn 0.000 0.750 0.500
Zn 0.250 0.500 0.000
Zn 0.500 0.000 0.250
Zn 0.500 0.000 0.750
Zn 0.750 0.500 0.000
In 0.000 0.500 0.250
In 0.000 0.500 0.750
In 0.250 0.000 0.500
In 0.500 0.250 0.000
In 0.500 0.750 0.000
In 0.750 0.000 0.500

***

No. 4
Computed, not measured: crystalline Pr2Zn6In3 at its relaxed geometry at the PBE level of DFT.

calculated volume: 247.59 Å³/cell
E: -2.473 eV/atom
space group: Cmmm

abc: 7.519 7.519 4.380
angles: 90.00 90.00 91.27
Sites, in units of the cell vectors:
Pr 0.216 0.784 0.000
Pr 0.784 0.216 0.000
Zn 0.111 0.111 0.500
Zn 0.147 0.456 0.500
Zn 0.456 0.147 0.500
Zn 0.544 0.853 0.500
Zn 0.853 0.544 0.500
Zn 0.889 0.889 0.500
In 0.273 0.273 0.000
In 0.500 0.500 0.500
In 0.727 0.727 0.000

***

No. 5
Computed, not measured: crystalline Pr12Zn3In5 at its relaxed geometry at the PBE level of DFT.

calculated volume: 3028.95 Å³/cell
E: -3.506 eV/atom
space group: Ia-3d

abc: 15.787 15.787 15.787
angles: 109.47 109.47 109.47
Sites, in units of the cell vectors:
Pr 0.066 0.229 0.138
Pr 0.066 0.337 0.928
Pr 0.072 0.638 0.409
Pr 0.072 0.934 0.663
Pr 0.091 0.729 0.663
Pr 0.091 0.862 0.428
Pr 0.138 0.066 0.229
Pr 0.138 0.572 0.909
Pr 0.163 0.229 0.591
Pr 0.163 0.434 0.572
Pr 0.229 0.138 0.066
Pr 0.229 0.591 0.163
Pr 0.271 0.337 0.909
Pr 0.271 0.434 0.362
Pr 0.337 0.909 0.271
Pr 0.337 0.928 0.066
Pr 0.362 0.271 0.434
Pr 0.362 0.591 0.928
Pr 0.409 0.072 0.638
Pr 0.409 0.837 0.771
Pr 0.428 0.091 0.862
Pr 0.428 0.837 0.566
Pr 0.434 0.362 0.271
Pr 0.434 0.572 0.163
Pr 0.566 0.428 0.837
Pr 0.566 0.638 0.729
Pr 0.572 0.163 0.434
Pr 0.572 0.909 0.138
Pr 0.591 0.163 0.229
Pr 0.591 0.928 0.362
Pr 0.638 0.409 0.072
Pr 0.638 0.729 0.566
Pr 0.663 0.072 0.934
Pr 0.663 0.091 0.729
Pr 0.729 0.566 0.638
Pr 0.729 0.663 0.091
Pr 0.771 0.409 0.837
Pr 0.771 0.862 0.934
Pr 0.837 0.566 0.428
Pr 0.837 0.771 0.409
Pr 0.862 0.428 0.091
Pr 0.862 0.934 0.771
Pr 0.909 0.138 0.572
Pr 0.909 0.271 0.337
Pr 0.928 0.066 0.337
Pr 0.928 0.362 0.591
Pr 0.934 0.663 0.072
Pr 0.934 0.771 0.862
Zn 0.125 0.250 0.375
Zn 0.125 0.375 0.750
Zn 0.250 0.375 0.125
Zn 0.250 0.875 0.625
Zn 0.375 0.125 0.250
Zn 0.375 0.750 0.125
Zn 0.625 0.250 0.875
Zn 0.625 0.875 0.750
Zn 0.750 0.125 0.375
Zn 0.750 0.625 0.875
Zn 0.875 0.625 0.250
Zn 0.875 0.750 0.625
In 0.000 0.000 0.000
In 0.000 0.000 0.500
In 0.000 0.500 0.000
In 0.000 0.500 0.500
In 0.125 0.750 0.875
In 0.125 0.875 0.250
In 0.250 0.125 0.875
In 0.250 0.625 0.375
In 0.375 0.250 0.625
In 0.375 0.625 0.750
In 0.500 0.000 0.000
In 0.500 0.000 0.500
In 0.500 0.500 0.000
In 0.500 0.500 0.500
In 0.625 0.375 0.250
In 0.625 0.750 0.375
In 0.750 0.375 0.625
In 0.750 0.875 0.125
In 0.875 0.125 0.750
In 0.875 0.250 0.125

***

No. 6
Computed, not measured: crystalline Pr2ZnIn8 at its relaxed geometry at the PBE level of DFT.

calculated volume: 287.82 Å³/cell
E: -3.288 eV/atom
space group: P4/mmm

abc: 4.825 4.825 12.363
angles: 90.00 90.00 90.00
Sites, in units of the cell vectors:
Pr 0.000 0.000 0.191
Pr 0.000 0.000 0.809
Zn 0.000 0.000 0.500
In 0.000 0.500 0.000
In 0.000 0.500 0.375
In 0.000 0.500 0.625
In 0.500 0.000 0.000
In 0.500 0.000 0.375
In 0.500 0.000 0.625
In 0.500 0.500 0.191
In 0.500 0.500 0.809